# Rb2FeOF5

A relaxed structure of Rb2FeOF5 (PBE with a Hubbard U, Alexandria).

## Properties
The magnetic moment comes out at 14.006 μB/cell. The raw total energy comes out at -40.67 eV/f.u.

Cell and atoms, written as POSCAR:
```
Rb2FeOF5
1.0
6.492 0.021 0.000
-1.138 6.391 0.000
0.000 0.000 8.037
Rb F O Fe
4 10 2 2
Direct
0.498 0.054 0.250
0.502 0.946 0.750
0.946 0.502 0.750
0.054 0.498 0.250
0.767 0.767 0.989
0.195 0.805 0.500
0.805 0.195 0.500
0.233 0.233 0.011
0.233 0.233 0.489
0.805 0.195 0.000
0.993 0.993 0.250
0.007 0.007 0.750
0.195 0.805 0.000
0.767 0.767 0.511
0.388 0.388 0.750
0.612 0.612 0.250
0.000 0.000 0.000
0.000 0.000 0.500
```